(1)
## Y2TcP2 (GGA-PBE)

Data for an optimized crystal structure of Y2TcP2.

For the total energy, the calculation gives -7.817 eV/atom. The formation energy comes out at -994 meV/atom.

a = 6.5465 Å, b = 6.5465 Å, c = 4.2409 Å
α = 90.00°, β = 90.00°, γ = 90.00°
Last column: nearest neighbours and their distance in Å.
Space group P4/mbm (No. 127)
Symmetry-distinct sites (fractional):
Y  0.1761  0.3239  0.0000  6 P 2.75-2.95
Tc  0.0000  0.0000  0.5000  4 P 2.55
P  0.1344  0.6344  0.5000  1 P 2.49, 2 Tc 2.55, 2 Y 2.75

***

(2)
## Nd3Ga3Pt8 (GGA-PBE)

Data for an optimized crystal structure of Nd3Ga3Pt8.

For the total energy, the calculation gives -6.081 eV/atom. The formation energy comes out at -959 meV/atom.

a = 16.0714 Å, b = 4.4238 Å, c = 9.0546 Å
α = 90.00°, β = 122.86°, γ = 90.00°
Last column: nearest neighbours and their distance in Å.
Space group C2/m (No. 12)
Symmetry-distinct sites (fractional):
Nd  0.0000  0.0000  0.0000  8 Pt 2.99-3.17
Nd  0.2042  0.5000  0.6710  10 Pt 3.01-3.37, 3 Ga 3.32
Ga  0.0000  0.0000  0.5000  8 Pt 2.54-2.73
Ga  0.1756  0.5000  0.0075  5 Pt 2.49-2.73
Pt  0.0051  0.5000  0.6814  3 Ga 2.73, 5 Pt 2.79-2.85
Pt  0.1174  0.0000  0.3935  1 Ga 2.54, 4 Pt 2.73-2.79
Pt  0.1309  0.0000  0.8393  4 Ga 2.56-2.63, 2 Pt 2.81
Pt  0.1512  0.5000  0.2568  1 Ga 2.49, 2 Pt 2.73

***

(3)
## Sm4Y3Ho5 (GGA-PBE)

Data for an optimized crystal structure of Sm4Y3Ho5.

For the total energy, the calculation gives -4.858 eV/atom. The formation energy comes out at 238 meV/atom.

a = 16.0941 Å, b = 5.9018 Å, c = 9.3695 Å
α = 90.00°, β = 116.72°, γ = 90.00°
Last column: nearest neighbours and their distance in Å.
Space group C2/m (No. 12)
Symmetry-distinct sites (fractional):
Sm  0.0837  0.0000  0.4462  2 Sm 3.27-3.65, 3 Ho 3.43-3.52, 1 Y 3.43
Sm  0.2149  0.0000  0.8809  3 Y 3.34-3.53, 3 Sm 3.56-3.65, 3 Ho 3.66-3.69
Y  0.0000  0.5000  0.0000  2 Ho 2.95
Y  0.2112  0.0000  0.2347  5 Ho 3.11-3.45, 2 Sm 3.34-3.43
Ho  0.0000  0.0000  0.0000  4 Y 2.95-3.11
Ho  0.0710  0.5000  0.7006  2 Y 3.28-3.47, 2 Ho 3.41-3.62, 2 Sm 3.66
Ho  0.1718  0.5000  0.3852  4 Y 3.19-3.45, 3 Sm 3.43-3.52